# 1
Dy5YEr2Th | PBE-GGA | optimized geometry

Cell and atoms, written as CIF:
```
data_Dy5YEr2Th
_chemical_formula_sum 'Dy20 Y4 Er8 Th4'
_symmetry_space_group_name_H-M 'C m c 21'
_symmetry_Int_Tables_number 36
_symmetry_space_group_name_Hall 'C 2c -2'
_cell_length_a 5.684
_cell_length_b 21.432
_cell_length_c 9.677
_cell_angle_alpha 90.00
_cell_angle_beta 90.00
_cell_angle_gamma 90.00
loop_
_atom_site_label
_atom_site_type_symbol
_atom_site_fract_x
_atom_site_fract_y
_atom_site_fract_z
_atom_site_occupancy
Dy1 Dy 0.000 0.014 0.000 1
Dy2 Dy 0.000 0.272 0.305 1
Dy3 Dy 0.000 0.304 0.700 1
Dy4 Dy 0.000 0.399 0.024 1
Dy5 Dy 0.000 0.468 0.725 1
Y1 Y 0.000 0.190 0.999 1
Er1 Er 0.000 0.116 0.313 1
Er2 Er 0.000 0.129 0.693 1
Th1 Th 0.000 0.406 0.404 1
```

crystal system	orthorhombic
DFT formation energy	3.7	kcal/mol of atoms
N(E_F)	1.38	states/eV per atom
calculated density	8.3	g cm⁻³
volume	32.75	Å³/atom

# 2
Dy6YEr3Th2 | PBE-GGA | optimized geometry

Cell and atoms, written as CIF:
```
data_Dy6YEr3Th2
_chemical_formula_sum 'Dy12 Y2 Er6 Th4'
_symmetry_space_group_name_H-M 'C 1 2/m 1'
_symmetry_Int_Tables_number 12
_symmetry_space_group_name_Hall '-C 2y'
_cell_length_a 6.145
_cell_length_b 10.633
_cell_length_c 11.745
_cell_angle_alpha 90.00
_cell_angle_beta 100.05
_cell_angle_gamma 90.00
loop_
_atom_site_label
_atom_site_type_symbol
_atom_site_fract_x
_atom_site_fract_y
_atom_site_fract_z
_atom_site_occupancy
Dy1 Dy 0.246 0.000 0.250 1
Dy2 Dy 0.248 0.169 0.751 1
Y1 Y 0.000 0.500 0.000 1
Er1 Er 0.000 0.000 0.500 1
Er2 Er 0.000 0.334 0.500 1
Th1 Th 0.000 0.167 0.000 1
```

crystal system	monoclinic
DFT formation energy	0.7	kcal/mol of atoms
N(E_F)	1.42	states/eV per atom
calculated density	8.9	g cm⁻³
volume	31.49	Å³/atom

# 3
Dy6Y2ErTh3 | PBE-GGA | optimized geometry

Cell and atoms, written as CIF:
```
data_Dy6Y2ErTh3
_chemical_formula_sum 'Dy12 Y4 Er2 Th6'
_symmetry_space_group_name_H-M 'C 1 2/m 1'
_symmetry_Int_Tables_number 12
_symmetry_space_group_name_Hall '-C 2y'
_cell_length_a 6.174
_cell_length_b 10.687
_cell_length_c 11.738
_cell_angle_alpha 90.00
_cell_angle_beta 100.11
_cell_angle_gamma 90.00
loop_
_atom_site_label
_atom_site_type_symbol
_atom_site_fract_x
_atom_site_fract_y
_atom_site_fract_z
_atom_site_occupancy
Dy1 Dy 0.248 0.000 0.246 1
Dy2 Dy 0.250 0.166 0.754 1
Y1 Y 0.000 0.333 0.500 1
Er1 Er 0.000 0.000 0.500 1
Th1 Th 0.000 0.167 0.000 1
Th2 Th 0.000 0.500 0.000 1
```

crystal system	monoclinic
DFT formation energy	0.6	kcal/mol of atoms
N(E_F)	1.54	states/eV per atom
calculated density	8.8	g cm⁻³
volume	31.77	Å³/atom

# 4
DyY2Er5Th | PBE-GGA | optimized geometry

Cell and atoms, written as CIF:
```
data_DyY2Er5Th
_chemical_formula_sum 'Dy4 Y8 Er20 Th4'
_symmetry_space_group_name_H-M 'C m c 21'
_symmetry_Int_Tables_number 36
_symmetry_space_group_name_Hall 'C 2c -2'
_cell_length_a 5.666
_cell_length_b 21.297
_cell_length_c 9.700
_cell_angle_alpha 90.00
_cell_angle_beta 90.00
_cell_angle_gamma 90.00
loop_
_atom_site_label
_atom_site_type_symbol
_atom_site_fract_x
_atom_site_fract_y
_atom_site_fract_z
_atom_site_occupancy
Dy1 Dy 0.000 0.192 0.000 1
Y1 Y 0.000 0.115 0.690 1
Y2 Y 0.000 0.129 0.306 1
Er1 Er 0.000 0.015 0.999 1
Er2 Er 0.000 0.271 0.692 1
Er3 Er 0.000 0.305 0.301 1
Er4 Er 0.000 0.399 0.978 1
Er5 Er 0.000 0.470 0.277 1
Th1 Th 0.000 0.406 0.594 1
```

crystal system	orthorhombic
DFT formation energy	3.8	kcal/mol of atoms
N(E_F)	1.46	states/eV per atom
calculated density	8.0	g cm⁻³
volume	32.51	Å³/atom

# 5
Dy2Y6ErTh3 | PBE-GGA | optimized geometry

Cell and atoms, written as CIF:
```
data_Dy2Y6ErTh3
_chemical_formula_sum 'Dy4 Y12 Er2 Th6'
_symmetry_space_group_name_H-M 'C 1 2/m 1'
_symmetry_Int_Tables_number 12
_symmetry_space_group_name_Hall '-C 2y'
_cell_length_a 6.192
_cell_length_b 10.720
_cell_length_c 11.753
_cell_angle_alpha 90.00
_cell_angle_beta 100.13
_cell_angle_gamma 90.00
loop_
_atom_site_label
_atom_site_type_symbol
_atom_site_fract_x
_atom_site_fract_y
_atom_site_fract_z
_atom_site_occupancy
Dy1 Dy 0.000 0.167 0.000 1
Y1 Y 0.249 0.167 0.747 1
Y2 Y 0.249 0.500 0.747 1
Er1 Er 0.000 0.500 0.000 1
Th1 Th 0.000 0.000 0.500 1
Th2 Th 0.000 0.333 0.500 1
```

crystal system	monoclinic
DFT formation energy	0.6	kcal/mol of atoms
N(E_F)	1.55	states/eV per atom
calculated density	7.4	g cm⁻³
volume	32.00	Å³/atom

# 6
DyY6Er2Th3 | PBE-GGA | optimized geometry

Cell and atoms, written as CIF:
```
data_DyY6Er2Th3
_chemical_formula_sum 'Dy2 Y12 Er4 Th6'
_symmetry_space_group_name_H-M 'C 1 2/m 1'
_symmetry_Int_Tables_number 12
_symmetry_space_group_name_Hall '-C 2y'
_cell_length_a 6.188
_cell_length_b 10.712
_cell_length_c 11.747
_cell_angle_alpha 90.00
_cell_angle_beta 100.12
_cell_angle_gamma 90.00
loop_
_atom_site_label
_atom_site_type_symbol
_atom_site_fract_x
_atom_site_fract_y
_atom_site_fract_z
_atom_site_occupancy
Dy1 Dy 0.000 0.000 0.000 1
Y1 Y 0.249 0.000 0.747 1
Y2 Y 0.249 0.333 0.747 1
Er1 Er 0.000 0.333 0.000 1
Th1 Th 0.000 0.167 0.500 1
Th2 Th 0.000 0.500 0.500 1
```

crystal system	monoclinic
DFT formation energy	0.7	kcal/mol of atoms
N(E_F)	1.58	states/eV per atom
calculated density	7.5	g cm⁻³
volume	31.94	Å³/atom

# 7
Dy2YEr5Th | PBE-GGA | optimized geometry

Cell and atoms, written as CIF:
```
data_Dy2YEr5Th
_chemical_formula_sum 'Dy8 Y4 Er20 Th4'
_symmetry_space_group_name_H-M 'I 4/m c m'
_symmetry_Int_Tables_number 140
_symmetry_space_group_name_Hall '-I 4 2c'
_cell_length_a 8.756
_cell_length_b 8.756
_cell_length_c 14.836
_cell_angle_alpha 90.00
_cell_angle_beta 90.00
_cell_angle_gamma 90.00
loop_
_atom_site_label
_atom_site_type_symbol
_atom_site_fract_x
_atom_site_fract_y
_atom_site_fract_z
_atom_site_occupancy
Dy1 Dy 0.114 0.386 0.000 1
Y1 Y 0.000 0.500 0.250 1
Er1 Er 0.000 0.000 0.000 1
Er2 Er 0.210 0.290 0.364 1
Th1 Th 0.000 0.000 0.250 1
```

crystal system	tetragonal
DFT formation energy	7.4	kcal/mol of atoms
N(E_F)	1.28	states/eV per atom
calculated density	8.7	g cm⁻³
volume	31.59	Å³/atom

# 8
DyErThZn | PBE-GGA | optimized geometry

Cell and atoms, written as CIF:
```
data_DyErThZn
_chemical_formula_sum 'Dy1 Er1 Th1 Zn1'
_symmetry_space_group_name_H-M 'P 4 m m'
_symmetry_Int_Tables_number 99
_symmetry_space_group_name_Hall 'P 4 -2'
_cell_length_a 3.549
_cell_length_b 3.549
_cell_length_c 8.535
_cell_angle_alpha 90.00
_cell_angle_beta 90.00
_cell_angle_gamma 90.00
loop_
_atom_site_label
_atom_site_type_symbol
_atom_site_fract_x
_atom_site_fract_y
_atom_site_fract_z
_atom_site_occupancy
Dy1 Dy 0.000 0.000 0.000 1
Er1 Er 0.000 0.000 0.580 1
Th1 Th 0.500 0.500 0.291 1
Zn1 Zn 0.500 0.500 0.787 1
```

crystal system	tetragonal
DFT formation energy	-3.9	kcal/mol of atoms
N(E_F)	1.46	states/eV per atom
calculated density	9.7	g cm⁻³
volume	26.88	Å³/atom

# 9
DyEr2Ti | PBE-GGA | optimized geometry

Cell and atoms, written as CIF:
```
data_DyEr2Ti
_chemical_formula_sum 'Dy3 Er6 Ti3'
_symmetry_space_group_name_H-M 'R -3 m'
_symmetry_Int_Tables_number 166
_symmetry_space_group_name_Hall '-R 3 2"'
_cell_length_a 3.3360
_cell_length_b 3.3360
_cell_length_c 34.8803
_cell_angle_alpha 90.00
_cell_angle_beta 90.00
_cell_angle_gamma 120.00
loop_
_atom_site_label
_atom_site_type_symbol
_atom_site_fract_x
_atom_site_fract_y
_atom_site_fract_z
_atom_site_occupancy
Dy1 Dy 0.0000 0.0000 0.0000 1
Er1 Er 0.0000 0.0000 0.4160 1
Ti1 Ti 0.0000 0.0000 0.5000 1
```

crystal system	trigonal
DFT formation energy	9.5	kcal/mol of atoms
N(E_F)	1.48	states/eV per atom
calculated density	8.1	g cm⁻³
volume	28.02	Å³/atom
energy above the most stable polymorph in this dataset	0.2574	eV per atom

# 10
DyEr2Ti | PBE-GGA | optimized geometry

Cell and atoms, written as CIF:
```
data_DyEr2Ti
_chemical_formula_sum 'Dy3 Er6 Ti3'
_symmetry_space_group_name_H-M 'R 3 m'
_symmetry_Int_Tables_number 160
_symmetry_space_group_name_Hall 'R 3 -2"'
_cell_length_a 3.3977
_cell_length_b 3.3977
_cell_length_c 32.4613
_cell_angle_alpha 90.00
_cell_angle_beta 90.00
_cell_angle_gamma 120.00
loop_
_atom_site_label
_atom_site_type_symbol
_atom_site_fract_x
_atom_site_fract_y
_atom_site_fract_z
_atom_site_occupancy
Dy1 Dy 0.0000 0.0000 0.0000 1
Er1 Er 0.0000 0.0000 0.5756 1
Er2 Er 0.0000 0.0000 0.7577 1
Ti1 Ti 0.0000 0.0000 0.1662 1
```

crystal system	trigonal
DFT formation energy	4.2	kcal/mol of atoms
N(E_F)	1.59	states/eV per atom
calculated density	8.4	g cm⁻³
volume	27.04	Å³/atom
energy above the most stable polymorph in this dataset	0.0281	eV per atom